Entry 1:
Computed, not measured: an optimized crystal structure of Li4RePdO6 at the PBE level of DFT.

The structure in POSCAR format:
```
Li4RePdO6
1.0
2.5954 -4.5402 0.0000
2.5954 4.5402 0.0000
-1.8405 0.0000 4.7633
Li Re Pd O
4 1 1 6
Direct
0.0000 0.0000 0.0000 Li
0.3630 0.6370 0.0000 Li
0.6841 0.3159 0.0000 Li
0.8536 0.1464 0.5000 Li
0.1803 0.8197 0.5000 Re
0.5237 0.4763 0.5000 Pd
0.0933 0.4270 0.2659 O
0.2449 0.1900 0.7573 O
0.4117 0.0183 0.2659 O
0.5730 0.9067 0.7341 O
0.8100 0.7551 0.2427 O
0.9817 0.5883 0.7341 O
```

Its space group is C2. The total energy is -73.19 eV for the cell shown. The total moment is 1.00 μB per formula unit. Its density is 6.16 g/cm³.

Entry 2:
Computed, not measured: an optimized crystal structure of Li4SbPdO6 at the PBE level of DFT.

The structure in POSCAR format:
```
Li4SbPdO6
1.0
2.5851 -4.5604 0.0000
2.5851 4.5604 0.0000
-1.6328 0.0000 4.8174
Li Sb Pd O
4 1 1 6
Direct
0.0000 0.0000 0.0000 Li
0.1645 0.8355 0.5000 Li
0.4924 0.5076 0.5000 Li
0.8459 0.1541 0.5000 Li
0.6625 0.3375 0.0000 Sb
0.3310 0.6690 0.0000 Pd
0.0690 0.4218 0.2311 O
0.2693 0.2479 0.7556 O
0.4377 0.1023 0.2471 O
0.5782 0.9310 0.7689 O
0.7521 0.7307 0.2444 O
0.8977 0.5623 0.7529 O
```

Its space group is C2. The total energy is -65.12 eV for the cell shown. Its density is 5.15 g/cm³.

Entry 3:
Computed, not measured: an optimized crystal structure of Li2PdSe2O8 at the PBE level of DFT.

The structure in POSCAR format:
```
Li2PdSe2O8
1.0
4.9547 0.0000 0.0000
2.1029 5.1251 0.0000
0.4258 2.1143 6.3070
Li Pd Se O
2 1 2 8
Direct
0.2104 0.2607 0.1845 Li
0.7896 0.7393 0.8155 Li
0.5000 0.5000 0.5000 Pd
0.1408 0.1459 0.7328 Se
0.8592 0.8541 0.2672 Se
0.0967 0.3525 0.8748 O
0.1845 0.8652 0.3277 O
0.2623 0.2769 0.4907 O
0.3598 0.8278 0.8514 O
0.6402 0.1722 0.1486 O
0.7377 0.7231 0.5093 O
0.8155 0.1348 0.6723 O
0.9033 0.6475 0.1252 O
```

Its space group is P-1. The total energy is -68.24 eV for the cell shown. Its density is 4.21 g/cm³.

Entry 4:
Computed, not measured: an optimized crystal structure of Li4SnPdO6 at the PBE level of DFT.

The structure in POSCAR format:
```
Li4SnPdO6
1.0
2.6046 -4.5222 0.0000
2.6046 4.5222 0.0000
-1.7133 0.0000 4.8480
Li Sn Pd O
4 1 1 6
Direct
0.0000 0.0000 0.0000 Li
0.1667 0.8333 0.5000 Li
0.4800 0.5200 0.5000 Li
0.8452 0.1548 0.5000 Li
0.6652 0.3348 0.0000 Sn
0.3327 0.6673 0.0000 Pd
0.0841 0.4287 0.2369 O
0.2633 0.2714 0.7578 O
0.4214 0.0709 0.2388 O
0.5713 0.9159 0.7631 O
0.7286 0.7367 0.2422 O
0.9291 0.5786 0.7612 O
```

Its space group is C2. The total energy is -65.48 eV for the cell shown. Its density is 5.07 g/cm³.

Entry 5:
Computed, not measured: an optimized crystal structure of Li4TaPdO6 at the PBE level of DFT.

The structure in POSCAR format:
```
Li4TaPdO6
1.0
2.5703 -4.5018 0.0000
2.5703 4.5018 0.0000
-1.6112 0.0000 4.8635
Li Ta Pd O
4 1 1 6
Direct
0.0000 0.0000 0.0000 Li
0.3598 0.6402 0.0000 Li
0.6843 0.3157 0.0000 Li
0.8503 0.1497 0.5000 Li
0.1904 0.8096 0.5000 Ta
0.5167 0.4833 0.5000 Pd
0.0911 0.4165 0.2516 O
0.2673 0.2188 0.7314 O
0.4145 0.0477 0.2543 O
0.5835 0.9089 0.7484 O
0.7812 0.7327 0.2686 O
0.9523 0.5855 0.7457 O
```

Its space group is C2. The total energy is -77.64 eV for the cell shown. The total moment is 1.00 μB per formula unit. Its density is 6.07 g/cm³.

Entry 6:
Computed, not measured: an optimized crystal structure of LiTaPdO5 at the PBE level of DFT.

The structure in POSCAR format:
```
LiTaPdO5
1.0
3.6617 -4.2330 0.0000
3.6617 4.2330 0.0000
-3.4108 0.0000 6.6538
Li Ta Pd O
2 2 2 10
Direct
0.2091 0.7909 0.7500 Li
0.7909 0.2091 0.2500 Li
0.5000 0.5000 0.0000 Ta
0.5000 0.5000 0.5000 Ta
0.1271 0.8729 0.2500 Pd
0.8729 0.1271 0.7500 Pd
0.1522 0.2408 0.3640 O
0.2348 0.6822 0.0379 O
0.2408 0.1522 0.8640 O
0.3178 0.7652 0.4621 O
0.4336 0.5664 0.7500 O
0.5664 0.4336 0.2500 O
0.6822 0.2348 0.5379 O
0.7592 0.8478 0.1360 O
0.7652 0.3178 0.9621 O
0.8478 0.7592 0.6360 O
```

Its space group is C2/c. The total energy is -111.39 eV for the cell shown. The total moment is 0.03 μB per formula unit. Its density is 6.03 g/cm³.

Entry 7:
Computed, not measured: an optimized crystal structure of Li4TcPdO6 at the PBE level of DFT.

The structure in POSCAR format:
```
Li4TcPdO6
1.0
2.5635 -4.4348 0.0000
2.5635 4.4348 0.0000
-1.7151 0.0000 4.7927
Li Tc Pd O
4 1 1 6
Direct
0.0000 0.0000 0.0000 Li
0.1632 0.8368 0.5000 Li
0.4934 0.5066 0.5000 Li
0.8422 0.1578 0.5000 Li
0.6668 0.3332 0.0000 Tc
0.3332 0.6668 0.0000 Pd
0.0747 0.4219 0.2385 O
0.2657 0.2614 0.7593 O
0.4264 0.0848 0.2386 O
0.5781 0.9253 0.7615 O
0.7386 0.7343 0.2407 O
0.9152 0.5736 0.7614 O
```

Its space group is C2. The total energy is -70.88 eV for the cell shown. The total moment is 3.00 μB per formula unit. Its density is 5.00 g/cm³.

Entry 8:
Computed, not measured: an optimized crystal structure of Li2TePdO6 at the PBE level of DFT.

The structure in POSCAR format:
```
Li2TePdO6
1.0
4.8137 0.0000 0.0000
0.0000 5.1736 0.0000
0.0000 0.0000 8.3907
Li Te Pd O
4 2 2 12
Direct
0.0000 0.0000 0.0000 Li
0.0000 0.5000 0.4039 Li
0.5000 0.0000 0.9039 Li
0.5000 0.5000 0.5000 Li
0.0000 0.0000 0.6107 Te
0.5000 0.5000 0.1107 Te
0.0000 0.5000 0.7963 Pd
0.5000 0.0000 0.2963 Pd
0.2090 0.1658 0.7853 O
0.2135 0.6791 0.6220 O
0.2461 0.1706 0.4592 O
0.2539 0.6706 0.9592 O
0.2865 0.1791 0.1220 O
0.2910 0.6658 0.2853 O
0.7090 0.3342 0.2853 O
0.7135 0.8209 0.1220 O
0.7461 0.3294 0.9592 O
0.7539 0.8294 0.4592 O
0.7865 0.3209 0.6220 O
0.7910 0.8342 0.7853 O
```

Its space group is Pnn2. The total energy is -107.54 eV for the cell shown. Its density is 5.47 g/cm³.

Entry 9:
Computed, not measured: an optimized crystal structure of LiPmO3 at the PBE level of DFT.

The structure in POSCAR format:
```
LiPmO3
1.0
3.6987 0.0000 0.0000
0.0000 3.6987 0.0000
0.0000 0.0000 3.7121
Li Pm O
1 1 3
Direct
0.0000 0.0000 0.0000 Li
0.5000 0.5000 0.4954 Pm
0.0000 0.0000 0.5000 O
0.0000 0.5000 0.0009 O
0.5000 0.0000 0.0009 O
```

Its space group is P4mm. The total energy is -30.90 eV for the cell shown. The total moment is 1.99 μB per formula unit. Its density is 6.54 g/cm³.

Entry 10:
Computed, not measured: an optimized crystal structure of Li8PmO6 at the PBE level of DFT.

The structure in POSCAR format:
```
Li8PmO6
1.0
2.8105 1.6227 5.3930
-2.8105 1.6227 5.3930
0.0000 -3.2453 5.3930
Li Pm O
8 1 6
Direct
0.0088 0.7238 0.3964 Li
0.1465 0.1465 0.1465 Li
0.2762 0.6036 0.9912 Li
0.3964 0.0088 0.7238 Li
0.6036 0.9912 0.2762 Li
0.7238 0.3964 0.0088 Li
0.8535 0.8535 0.8535 Li
0.9912 0.2762 0.6036 Li
0.5000 0.5000 0.5000 Pm
0.0947 0.3975 0.7470 O
0.2530 0.9053 0.6025 O
0.3975 0.7470 0.0947 O
0.6025 0.2530 0.9053 O
0.7470 0.0947 0.3975 O
0.9053 0.6025 0.2530 O
```

Its space group is R-3. The total energy is -79.07 eV for the cell shown. The total moment is 1.00 μB per formula unit. Its density is 3.34 g/cm³.

Entry 11:
Computed, not measured: an optimized crystal structure of Li8Pm4O11 at the PBE level of DFT.

The structure in POSCAR format:
```
Li8Pm4O11
1.0
4.9951 0.0000 0.0000
0.5231 5.9882 0.0000
2.4677 1.6991 9.1026
Li Pm O
8 4 11
Direct
0.0000 0.0000 0.0000 Li
0.0088 0.2416 0.7091 Li
0.1984 0.6251 0.5788 Li
0.3100 0.2834 0.4623 Li
0.4991 0.8966 0.0424 Li
0.5093 0.6496 0.3268 Li
0.7518 0.4662 0.5218 Li
0.9124 0.7143 0.8826 Li
0.0662 0.5071 0.1688 Pm
0.4945 0.3733 0.8778 Pm
0.5630 0.9273 0.6936 Pm
0.9224 0.9669 0.3399 Pm
0.1293 0.5988 0.3789 O
0.2021 0.1561 0.0970 O
0.2612 0.7318 0.9207 O
0.3850 0.3022 0.6719 O
0.5411 0.7908 0.4923 O
0.6427 0.5243 0.0788 O
0.6856 0.3295 0.3420 O
0.7582 0.8253 0.1682 O
0.7654 0.0446 0.8648 O
0.8502 0.5777 0.7290 O
0.9714 0.1109 0.5374 O
```

Its space group is P1. The total energy is -141.07 eV for the cell shown. The total moment is 0.03 μB per formula unit. Its density is 4.95 g/cm³.

Entry 12:
Computed, not measured: an optimized crystal structure of LiPmO3 at the PBE level of DFT.

The structure in POSCAR format:
```
LiPmO3
1.0
2.4070 1.3897 5.5126
-2.4070 1.3897 5.5126
0.0000 -2.7793 5.5126
Li Pm O
2 2 6
Direct
0.1620 0.1620 0.1620 Li
0.8380 0.8380 0.8380 Li
0.3818 0.3818 0.3818 Pm
0.6182 0.6182 0.6182 Pm
0.0948 0.0948 0.5811 O
0.0948 0.5811 0.0948 O
0.4189 0.9052 0.9052 O
0.5811 0.0948 0.0948 O
0.9052 0.4189 0.9052 O
0.9052 0.9052 0.4189 O
```

Its space group is R-3m. The total energy is -60.99 eV for the cell shown. The total moment is 0.45 μB per formula unit. Its density is 6.00 g/cm³.

> Which value of total energy does entry 9 give?

-30.90 eV for the cell shown

> total energy of number 1 (Li4RePdO6)?

-73.19 eV for the cell shown

> What is the total energy in the eighth record?

-107.54 eV for the cell shown

> Which value of total energy does entry 2 give?

-65.12 eV for the cell shown